Here is an optimized crystal structure of LaPHPt6 from Alexandria. Energies are from GGA-PBE.

Calculated values
E, eV/atom: -6.0095
Space group: Imma (74)

Lattice parameters (Å, degrees): 7.460 7.691 7.688 120.02 119.02 90.00
Positions (direct):
La  0.928  0.678  0.856
La  0.072  0.322  0.144
P  0.500  0.500  0.000
P  0.500  0.000  0.000
H  0.500  0.000  0.500
H  0.000  0.000  0.500
Pt  0.383  0.633  0.765
Pt  0.793  0.043  0.586
Pt  0.863  0.094  0.258
Pt  0.395  0.665  0.258
Pt  0.395  0.094  0.258
Pt  0.863  0.665  0.258
Pt  0.617  0.367  0.235
Pt  0.207  0.957  0.414
Pt  0.137  0.906  0.742
Pt  0.605  0.335  0.742
Pt  0.605  0.906  0.742
Pt  0.137  0.335  0.742